A plane-wave DFT calculation with PBE was carried out for Rb2ScVGa after structural relaxation.

SG   P4/mmm (123)
Electronic total energy   -14.8 eV per formula unit
Spin magnetization   5.6 μB/f.u.

Cell and atoms, written as extended XYZ:
```
5
Lattice="6.4989 0.0000 0.0000 0.0000 6.4989 0.0000 0.0000 0.0000 5.1217" Properties=species:S:1:pos:R:3 pbc="T T T"
Rb 0.0000 3.2494 0.0000
Rb 3.2494 0.0000 0.0000
Sc 0.0000 0.0000 2.5609
V 3.2494 3.2494 2.5609
Ga 3.2494 3.2494 0.0000
```